[1]
This record from Alexandria via LeMat-Bulk describes Sb2IrRu after structural relaxation. The functional is GGA-PBEsol.

Cell lengths 3.332, 4.561, 4.561 Å; angles 94.00, 90.00, 90.00 degrees
Sites, in units of the cell vectors:
Ru 0.500 0.500 0.500
Sb 0.000 0.000 0.500
Sb 0.000 0.500 0.000
Ir 0.500 0.000 0.000

Computed properties:
The space-group type is Cmmm, No. 65. As for the total DFT energy (no corrections): -7.05 eV per atom. The value obtained for the total magnetic moment is 0.001 μB/atom.

---

[2]
This record from Alexandria via LeMat-Bulk describes RbNa2PbSe after structural relaxation. The functional is GGA-PBEsol.

Cell lengths 5.521, 5.521, 6.545 Å; angles 90.00, 90.00, 90.00 degrees
Sites, in units of the cell vectors:
Na 0.000 0.500 0.000
Na 0.500 0.000 0.000
Rb 0.000 0.000 0.500
Se 0.000 0.000 0.000
Pb 0.500 0.500 0.500

Computed properties:
The space-group type is P4/mmm, No. 123. As for the total DFT energy (no corrections): -2.62 eV per atom. The value obtained for the total magnetic moment is 0.542 μB/atom.

---

[3]
This record from Alexandria via LeMat-Bulk describes KAl2P2H4O11 after structural relaxation. The functional is GGA-PBEsol.

Cell lengths 9.088, 9.345, 10.353 Å; angles 90.00, 90.00, 90.00 degrees
Sites, in units of the cell vectors:
O 0.270 0.270 0.188
O 0.983 0.882 0.151
O 0.752 0.975 0.674
O 0.017 0.382 0.349
O 0.248 0.475 0.826
O 0.961 0.865 0.835
O 0.461 0.635 0.165
O 0.181 0.537 0.117
O 0.483 0.618 0.849
O 0.926 0.085 0.994
O 0.252 0.525 0.326
O 0.819 0.037 0.383
O 0.254 0.818 0.131
O 0.039 0.365 0.665
O 0.246 0.182 0.631
O 0.230 0.730 0.688
O 0.480 0.888 0.248
O 0.730 0.770 0.312
O 0.511 0.341 0.490
O 0.426 0.415 0.006
O 0.005 0.645 0.283
O 0.074 0.585 0.506
O 0.319 0.463 0.617
O 0.748 0.025 0.174
O 0.588 0.633 0.488
O 0.489 0.841 0.010
O 0.520 0.388 0.252
O 0.517 0.118 0.651
O 0.912 0.367 0.988
O 0.011 0.159 0.510
O 0.495 0.355 0.783
O 0.020 0.112 0.748
O 0.995 0.145 0.217
O 0.746 0.318 0.369
O 0.539 0.135 0.335
O 0.412 0.133 0.012
O 0.574 0.915 0.494
O 0.681 0.963 0.883
O 0.989 0.659 0.990
O 0.770 0.230 0.812
O 0.980 0.612 0.752
O 0.754 0.682 0.869
O 0.505 0.855 0.717
O 0.088 0.867 0.512
H 0.662 0.245 0.817
H 0.448 0.232 0.992
H 0.004 0.933 0.520
H 0.838 0.755 0.317
H 0.504 0.567 0.480
H 0.322 0.200 0.127
H 0.822 0.300 0.873
H 0.678 0.700 0.373
H 0.948 0.268 0.008
H 0.162 0.255 0.183
H 0.052 0.768 0.492
H 0.178 0.800 0.627
H 0.996 0.433 0.980
H 0.552 0.732 0.508
H 0.338 0.745 0.683
H 0.496 0.067 0.020
K 0.239 0.969 0.865
K 0.739 0.531 0.135
K 0.261 0.031 0.365
K 0.761 0.469 0.635
P 0.914 0.029 0.134
P 0.923 0.709 0.860
P 0.586 0.971 0.634
P 0.086 0.529 0.366
P 0.077 0.209 0.640
P 0.423 0.791 0.140
P 0.414 0.471 0.866
P 0.577 0.291 0.360
Al 0.413 0.286 0.633
Al 0.857 0.037 0.827
Al 0.087 0.714 0.133
Al 0.643 0.963 0.327
Al 0.357 0.463 0.173
Al 0.143 0.537 0.673
Al 0.587 0.786 0.867
Al 0.913 0.214 0.367

Computed properties:
The space-group type is P2_12_12_1, No. 19. As for the total DFT energy (no corrections): -6.62 eV per atom. The value obtained for the total magnetic moment is 0.053 μB/atom.